! Li2Ac3CdAu6 PBE relaxed; values from VASP
&SYSTEM
  ibrav = 0, nat = 12, ntyp = 4
/
ATOMIC_SPECIES
Au 196.97 Au.upf
Ac 227.00 Ac.upf
Cd 112.41 Cd.upf
Li 6.94 Li.upf
CELL_PARAMETERS angstrom
6.5192 0.0000 0.0000
-3.2596 5.6458 0.0000
0.0000 0.0000 8.5810
ATOMIC_POSITIONS angstrom
Au 1.4389 4.5946 2.3606
Au 4.6985 1.0512 6.2205
Au -1.4389 4.5946 2.3606
Au 1.8207 1.0512 6.2205
Au 3.2596 3.5434 6.2205
Au 0.0000 2.1024 2.3606
Ac 3.2596 1.8819 3.2319
Ac 0.0000 0.0000 0.0000
Ac 0.0000 3.7639 5.3492
Cd 0.0000 0.0000 4.2905
Li 3.2596 1.8819 8.3121
Li 0.0000 3.7639 0.2690
! Formation enthalpy at 0 K   -6.27 eV/f.u.